ScIN2, optimized geometry, DFT PBE-GGA; ΔE_f (raw) = 1097 meV/atom
1.0
0.000 3.007 3.007
3.007 0.000 3.007
3.007 3.007 0.000
Sc I N
1 1 2
Cartesian
0.000 0.000 0.000
3.007 3.007 3.007
1.503 1.503 1.503
4.510 4.510 4.510

---

NaScSi, optimized geometry, DFT PBE-GGA; ΔE_f (raw) = -101 meV/atom
1.0
4.980 -2.260 0.000
4.980 2.260 0.000
-2.307 0.000 5.734
Na Sc Si
2 2 2
Cartesian
0.000 0.000 0.000
4.342 0.000 5.149
3.195 0.000 1.753
6.224 0.000 2.839
-0.622 0.000 2.818
1.322 0.000 4.373

---

Er5TmRu4, optimized geometry, DFT PBE-GGA; calculated total energy = -67.6 eV per formula unit
1.0
7.118 -2.397 0.000
7.118 2.397 0.000
-0.008 0.000 6.657
Er Tm Ru
5 1 4
Cartesian
0.000 0.000 0.000
4.746 0.000 0.007
4.746 0.000 3.342
9.481 0.000 3.315
9.482 0.000 6.650
-0.004 0.000 3.329
2.337 0.000 4.989
7.102 0.000 1.668
7.126 0.000 4.989
11.890 0.000 1.668

---

ScGa4Co2Ni, optimized geometry, DFT PBE-GGA; calculated total energy = -41.2 eV per formula unit
1.0
2.025 1.169 8.098
-2.025 1.169 8.098
0.000 -2.338 8.098
Sc Ga Co Ni
1 4 2 1
Cartesian
0.000 0.000 0.000
0.000 0.000 3.151
0.000 0.000 9.652
0.000 0.000 14.642
0.000 0.000 21.143
0.000 0.000 5.703
0.000 0.000 18.591
0.000 0.000 12.147

---

Li2Ag8Sb, optimized geometry, DFT PBE-GGA; ΔE_f (raw) = -71 meV/atom
1.0
7.417 -2.119 0.000
7.417 2.119 0.000
-1.760 0.000 6.313
Li Ag Sb
2 8 1
Cartesian
3.079 0.000 0.938
9.996 0.000 5.375
0.309 0.000 1.386
0.917 0.000 4.421
3.649 0.000 3.721
5.901 0.000 0.240
7.173 0.000 6.073
9.425 0.000 2.593
12.157 0.000 1.893
12.766 0.000 4.928
6.537 0.000 3.157

---

SnH, optimized geometry, DFT PBE-GGA; calculated total energy = -6.7 eV per formula unit
1.0
8.171 0.000 0.000
0.000 4.525 0.000
0.000 0.000 5.854
Sn H
6 6
Cartesian
0.000 0.324 0.000
1.514 2.140 2.670
2.572 2.386 5.597
4.086 4.202 2.927
5.599 2.386 5.597
6.658 2.140 2.670
0.000 0.192 4.047
2.024 0.352 2.620
2.062 4.173 5.547
4.086 4.333 1.120
6.109 4.173 5.547
6.148 0.352 2.620

---

AlGeSbW2, optimized geometry, DFT PBE-GGA; ΔE_f (raw) = 1585 meV/atom
1.0
4.792 0.000 0.000
0.000 4.792 0.000
0.000 0.000 4.437
Al Ge Sb W
1 1 1 2
Cartesian
0.000 0.000 0.000
0.000 0.000 2.219
2.396 2.396 2.219
0.000 2.396 0.000
2.396 0.000 0.000

---

LiPuGeO5, optimized geometry, DFT PBE-GGA; ΔE_f (raw) = -2196 meV/atom
1.0
3.167 -4.909 0.000
3.167 4.909 0.000
-3.108 0.000 7.187
Li Pu Ge O
2 2 2 10
Cartesian
0.836 2.804 5.390
2.390 -2.804 1.797
3.167 0.000 0.000
1.613 0.000 3.593
2.390 2.876 1.797
0.836 -2.876 5.390
-1.746 0.949 6.675
1.092 1.859 2.485
-0.192 -0.949 3.081
0.836 0.788 5.390
3.688 1.859 1.109
-0.462 -1.859 6.078
2.390 -0.788 1.797
3.418 0.949 4.105
2.134 -1.859 4.702
4.972 -0.949 0.512

---

U6SeS12, optimized geometry, DFT PBE-GGA; ΔE_f (raw) = -1166 meV/atom
1.0
6.225 3.594 3.329
-6.225 3.594 3.329
0.000 -7.188 3.329
U Se S
6 1 12
Cartesian
0.000 -3.014 3.850
-2.610 1.507 3.850
-2.610 -1.507 6.136
2.610 1.507 3.850
2.610 -1.507 6.136
0.000 3.014 6.136
0.000 0.000 0.000
-2.310 -4.001 4.993
-4.620 0.000 4.993
-1.645 -0.950 3.655
1.645 -0.950 3.655
0.000 1.899 3.655
2.310 -4.001 4.993
-2.310 4.001 4.993
0.000 -1.899 6.332
-1.645 0.950 6.332
1.645 0.950 6.332
4.620 0.000 4.993
2.310 4.001 4.993

---

BaAcTlIn, optimized geometry, DFT PBE-GGA; calculated total energy = -12.5 eV per formula unit
1.0
0.000 4.204 4.204
4.204 0.000 4.204
4.204 4.204 0.000
Ba Ac Tl In
1 1 1 1
Cartesian
0.000 0.000 0.000
4.204 4.204 4.204
2.102 2.102 2.102
6.306 6.306 6.306

---

Ca2AgAu2, optimized geometry, DFT PBE-GGA; calculated total energy = -15.7 eV per formula unit
1.0
8.246 0.000 0.000
0.000 8.246 0.000
0.000 0.000 3.715
Ca Ag Au
4 2 4
Cartesian
1.354 2.769 0.000
2.769 6.892 0.000
5.478 1.354 0.000
6.892 5.478 0.000
0.000 0.000 0.000
4.123 4.123 0.000
1.072 5.196 1.857
3.051 1.072 1.857
5.196 7.174 1.857
7.174 3.051 1.857

---

ScTiAg2Sb, optimized geometry, DFT PBE-GGA; ΔE_f (raw) = 784 meV/atom
1.0
4.980 0.000 0.000
0.000 4.980 0.000
0.000 0.000 4.996
Sc Ti Ag Sb
1 1 2 1
Cartesian
0.000 0.000 0.000
0.000 0.000 2.498
0.000 2.490 2.498
2.490 0.000 2.498
2.490 2.490 0.000

---

CdHg3O4, optimized geometry, DFT PBE-GGA; ΔE_f (raw) = -395 meV/atom
1.0
7.558 0.000 0.000
0.000 6.541 0.000
0.000 0.000 5.912
Cd Hg O
2 6 8
Cartesian
0.000 1.091 0.000
3.779 5.450 2.956
0.000 5.435 3.002
1.878 4.357 0.046
1.901 2.184 3.002
3.779 1.106 0.046
5.657 2.184 3.002
5.680 4.357 0.046
0.000 1.096 3.665
0.000 5.510 0.651
1.843 2.154 0.646
1.936 4.386 3.602
3.779 1.031 3.607
3.779 5.445 0.709
5.622 4.386 3.602
5.715 2.154 0.646